Compound: ZrCoSe2Br
Source: Alexandria via LeMat-Bulk
Functional: PBE-GGA
Structure: relaxed

Cell lengths 4.6985, 4.6985, 4.6408 Å; angles 90.00, 90.00, 90.00 degrees
With the nearest neighbours (Å) after each atom.
Fractional positions:
Zr 0.0000 0.0000 0.0000  8 Se 3.30, 4 Br 3.32
Co 0.5000 0.5000 0.5000  2 Br 2.32, 4 Se 2.35
Se 0.0000 0.5000 0.5000  2 Co 2.35
Se 0.5000 0.0000 0.5000  2 Co 2.35
Br 0.5000 0.5000 0.0000  2 Co 2.32

energy relative to the lowest polymorph listed for this composition = 0.0 meV/atom

***

Compound: Pm3Tm3Pb5
Source: Alexandria via LeMat-Bulk
Functional: PBE-GGA
Structure: relaxed

Cell lengths 11.0948, 11.0948, 3.5584 Å; angles 90.00, 90.00, 120.00 degrees
With the nearest neighbours (Å) after each atom.
Fractional positions:
Pm 0.0000 0.8262 0.0000  4 Pm 3.34-3.56, 4 Pb 3.35, 2 Tm 3.41
Pm 0.1738 0.1738 0.0000  4 Pm 3.34-3.56, 4 Pb 3.35, 2 Tm 3.41
Pm 0.8262 0.0000 0.0000  4 Pm 3.34-3.56, 4 Pb 3.35, 2 Tm 3.41
Tm 0.0000 0.5640 0.5000  3 Pb 3.00-3.28
Tm 0.4360 0.4360 0.5000  3 Pb 3.00-3.28
Tm 0.5640 0.0000 0.5000  3 Pb 3.00-3.28
Pb 0.0000 0.2935 0.5000  1 Tm 3.00, 4 Pm 3.35
Pb 0.2935 0.0000 0.5000  1 Tm 3.00, 4 Pm 3.35
Pb 0.3333 0.6667 0.5000  3 Tm 3.28, 2 Pb 3.56
Pb 0.6667 0.3333 0.5000  3 Tm 3.28, 2 Pb 3.56
Pb 0.7065 0.7065 0.5000  1 Tm 3.00, 4 Pm 3.35

ΔH_f (0 K) = 161 meV per atom

***

Compound: GaCu2Ge2
Source: Alexandria via LeMat-Bulk
Functional: PBE-GGA
Structure: relaxed

Cell lengths 7.7796, 7.7796, 2.6838 Å; angles 90.00, 90.00, 90.00 degrees
With the nearest neighbours (Å) after each atom.
Fractional positions:
Ga 0.0000 0.0000 0.0000  2 Ga 2.68, 4 Ge 2.99
Ga 0.5000 0.5000 0.0000  2 Ga 2.68, 4 Ge 2.99
Cu 0.1532 0.3468 0.5000  6 Ge 2.62-2.67, 2 Cu 2.68
Cu 0.3468 0.8468 0.5000  6 Ge 2.62-2.67, 2 Cu 2.68
Cu 0.6532 0.1532 0.5000  6 Ge 2.62-2.67, 2 Cu 2.68
Cu 0.8468 0.6532 0.5000  6 Ge 2.62-2.67, 2 Cu 2.68
Ge 0.1428 0.6428 0.0000  6 Cu 2.62-2.67, 2 Ge 2.68
Ge 0.3572 0.1428 0.0000  6 Cu 2.62-2.67, 2 Ge 2.68
Ge 0.6428 0.8572 0.0000  6 Cu 2.62-2.67, 2 Ge 2.68
Ge 0.8572 0.3572 0.0000  6 Cu 2.62-2.67, 2 Ge 2.68

energy relative to the lowest polymorph listed for this composition = 0.4 meV/atom
ΔH_f (0 K) = 173 meV per atom